Entry 1
The following is a DFT calculation (PBE) of crystalline Tl5Pt3 at its relaxed geometry.

Lattice parameters (Å, degrees): 8.9683 10.9123 3.8982 90.00 90.00 90.00
With the nearest neighbours (Å) after each atom.
Space group Cmmm (No. 65)
Unique sites:
1 Tl 0.0000 0.0000 0.0000 (multiplicity 2)  4 Tl 3.13
2 Tl 0.2273 0.5000 0.5000 (multiplicity 4)  4 Pt 2.82-2.93, 2 Tl 3.13
3 Tl 0.2500 0.2500 0.0000 (multiplicity 4)  4 Pt 3.04, 4 Tl 3.36
4 Pt 0.0000 0.3072 0.5000 (multiplicity 4)  2 Pt 2.87, 6 Tl 2.93-3.04
5 Pt 0.0000 0.5000 0.0000 (multiplicity 2)  4 Tl 2.82, 4 Pt 2.87

***

Entry 2
The following is a DFT calculation (PBE) of crystalline Tl5Pt3 at its relaxed geometry.

Lattice parameters (Å, degrees): 6.5183 6.8990 8.7923 82.78 88.20 84.58
With the nearest neighbours (Å) after each atom.
Space group P-1 (No. 2)
Unique sites:
1 Tl 0.0132 0.3075 0.1388 (multiplicity 2)  4 Pt 2.84-2.99
2 Tl 0.1175 0.8081 0.2847 (multiplicity 2)  4 Pt 2.84-2.92
3 Tl 0.2706 0.4586 0.6001 (multiplicity 2)  3 Pt 2.89-2.93
4 Tl 0.4211 0.9277 0.6738 (multiplicity 2)  4 Pt 2.79-2.97
5 Tl 0.4862 0.2799 0.9558 (multiplicity 2)  3 Pt 2.80-2.92
6 Pt 0.1517 0.1322 0.4496 (multiplicity 2)  6 Tl 2.83-2.98, 2 Pt 2.86-2.87
7 Pt 0.1885 0.0196 0.9311 (multiplicity 2)  1 Pt 2.73, 6 Tl 2.79-2.99
8 Pt 0.3535 0.4427 0.2747 (multiplicity 2)  6 Tl 2.82-2.91, 1 Pt 2.87

***

Relative to the most stable structure, the computed energies are entry 1 174; entry 2 0, all in meV/atom.